Entry 1:
Entry from Alexandria: a relaxed Cs4CuSe2 crystal (PBE-GGA).

Unit cell a=6.2345 b=6.2345 c=10.5214 alpha=72.77 beta=72.77 gamma=60.00
Atoms (fractional coordinates):
Se: 0.9231 0.9231 0.2306
Se: 0.0769 0.0769 0.7694
Cs: 0.3831 0.3831 0.8506
Cs: 0.7958 0.7958 0.6127
Cs: 0.2042 0.2042 0.3873
Cs: 0.6169 0.6169 0.1494
Cu: 0.0000 0.0000 0.0000

Values from the calculation:
size of the total moment: 0.74 μB/f.u.
uncorrected energy: -0.20608 Ry per atom
DOS(E_F): 2.73 states/eV/cell
formation energy without anion corrections: -0.7354 eV per atom


Entry 2:
Entry from Alexandria: a relaxed CsCu3Se crystal (PBE-GGA).

Unit cell a=5.2502 b=5.2502 c=5.2502 alpha=90.00 beta=90.00 gamma=90.00
Atoms (fractional coordinates):
Cu: 0.0000 0.5000 0.0000
Cu: 0.0000 0.0000 0.5000
Cu: 0.5000 0.0000 0.0000
Cs: 0.0000 0.0000 0.0000
Se: 0.5000 0.5000 0.5000

Values from the calculation:
size of the total moment: 0.00 μB/f.u.
uncorrected energy: -0.11842 Ry per atom
DOS(E_F): 1.95 states/eV/cell
formation energy without anion corrections: 1.7141 eV per atom


Entry 3:
Entry from Alexandria: a relaxed CsCu8Se6 crystal (PBE-GGA).

Unit cell a=6.9705 b=6.9705 c=6.9705 alpha=99.54 beta=99.54 gamma=99.54
Atoms (fractional coordinates):
Cu: 0.6395 0.6395 0.6395
Cu: 0.8248 0.4711 0.3861
Cu: 0.4711 0.3861 0.8248
Cu: 0.1752 0.5289 0.6139
Cu: 0.6139 0.1752 0.5289
Cu: 0.5289 0.6139 0.1752
Cu: 0.3861 0.8248 0.4711
Cu: 0.3605 0.3605 0.3605
Se: 0.2642 0.1272 0.5649
Se: 0.7358 0.8728 0.4351
Se: 0.1272 0.5649 0.2642
Se: 0.5649 0.2642 0.1272
Se: 0.8728 0.4351 0.7358
Se: 0.4351 0.7358 0.8728
Cs: 0.0000 0.0000 0.0000

Values from the calculation:
size of the total moment: 0.00 μB/f.u.
uncorrected energy: -0.28697 Ry per atom
DOS(E_F): 8.73 states/eV/cell
formation energy without anion corrections: -0.2691 eV per atom